Entry one
Fe2Rh2Pb: optimized geometry, PBE.

Computed properties:
N(E_F) = 4.40 states/eV/f.u.
symmetry = P4/mbm (127)
calculated volume = 16.125 A^3/atom
total moment = 14.71 Bohr magnetons per cell
crystal system = tetragonal

Unit cell a=7.397 b=7.397 c=2.947 alpha=90.00 beta=90.00 gamma=90.00
Site moments in Bohr magnetons follow the coordinates.
Positions (direct):
Pb: 0.000 0.000 0.000  -0.04
Pb: 0.500 0.500 0.000  -0.04
Rh: 0.364 0.864 0.000  0.61
Rh: 0.864 0.636 0.000  0.62
Rh: 0.636 0.136 0.000  0.61
Rh: 0.136 0.364 0.000  0.62
Fe: 0.154 0.654 0.500  3.08
Fe: 0.654 0.846 0.500  3.08
Fe: 0.846 0.346 0.500  3.08
Fe: 0.346 0.154 0.500  3.08


Entry two
Fe2Rh2Pb: optimized geometry, PBE.

Computed properties:
N(E_F) = 5.25 states/eV/f.u.
symmetry = P4/mbm (127)
calculated volume = 16.099 A^3/atom
total moment = 15.00 Bohr magnetons per cell
crystal system = tetragonal

Unit cell a=7.400 b=7.400 c=2.940 alpha=90.00 beta=90.00 gamma=90.00
Site moments in Bohr magnetons follow the coordinates.
Positions (direct):
Pb: 0.000 0.000 0.000  -0.02
Pb: 0.500 0.500 0.000  -0.02
Rh: 0.148 0.648 0.500  0.72
Rh: 0.648 0.852 0.500  0.72
Rh: 0.852 0.352 0.500  0.72
Rh: 0.352 0.148 0.500  0.72
Fe: 0.361 0.861 0.000  3.01
Fe: 0.861 0.639 0.000  3.01
Fe: 0.639 0.139 0.000  3.01
Fe: 0.139 0.361 0.000  3.01


Most stable pick: entry one. Distance to second place: 4.6 kJ/mol of atoms.